[1]
The following is a DFT calculation (PBE-GGA) of Nd2OF after structural relaxation.

Cell lengths 3.648, 3.648, 18.037 Å; angles 90.00, 90.00, 120.00 degrees
Positions (direct):
Nd1 0.000 0.000 0.241
Nd2 0.000 0.000 0.759
Nd3 0.333 0.667 0.425
Nd4 0.333 0.667 0.908
Nd5 0.667 0.333 0.092
Nd6 0.667 0.333 0.575
O1 0.000 0.000 0.500
O2 0.333 0.667 0.167
O3 0.667 0.333 0.833
F1 0.000 0.000 0.000
F2 0.333 0.667 0.667
F3 0.667 0.333 0.333

Computed properties:
Space group: R-3m, No. 166
Magnetic moment in μB/atom: 0.000
Energy in eV per atom: -6.533
Raw formation energy in eV/atom: -2.4416

[2]
The following is a DFT calculation (PBE-GGA) of Nd2O3F3 after structural relaxation.

Cell lengths 5.930, 5.930, 4.117 Å; angles 90.00, 90.00, 120.00 degrees
Positions (direct):
Nd1 0.000 0.000 0.000
Nd2 0.333 0.667 0.500
O1 0.108 0.453 0.000
O2 0.346 0.892 0.000
O3 0.547 0.654 0.000
F1 0.268 0.235 0.500
F2 0.765 0.033 0.500
F3 0.967 0.732 0.500

Computed properties:
Space group: P-6, No. 174
Magnetic moment in μB/atom: 0.375
Energy in eV per atom: -6.465
Raw formation energy in eV/atom: -2.7116

[3]
The following is a DFT calculation (PBE-GGA) of NdO2F4 after structural relaxation.

Cell lengths 5.776, 5.721, 6.989 Å; angles 90.00, 112.57, 90.00 degrees
Positions (direct):
Nd1 0.000 0.000 0.000
Nd2 0.500 0.500 0.000
O1 0.192 0.000 0.579
O2 0.308 0.500 0.421
O3 0.692 0.500 0.579
O4 0.808 0.000 0.421
F1 0.167 0.244 0.803
F2 0.167 0.756 0.803
F3 0.333 0.256 0.197
F4 0.333 0.744 0.197
F5 0.667 0.256 0.803
F6 0.667 0.744 0.803
F7 0.833 0.244 0.197
F8 0.833 0.756 0.197

Computed properties:
Space group: C2/m, No. 12
Magnetic moment in μB/atom: 0.711
Energy in eV per atom: -4.814
Raw formation energy in eV/atom: -1.6466

[4]
The following is a DFT calculation (PBE-GGA) of NdOF after structural relaxation.

Cell lengths 3.738, 3.738, 4.933 Å; angles 90.00, 90.00, 120.00 degrees
Positions (direct):
Nd1 0.000 0.000 0.000
O1 0.333 0.667 0.849
F1 0.667 0.333 0.253

Computed properties:
Space group: P3m1, No. 156
Magnetic moment in μB/atom: 0.000
Energy in eV per atom: -7.348
Raw formation energy in eV/atom: -3.4827

[5]
The following is a DFT calculation (PBE-GGA) of Nd2O2F after structural relaxation.

Cell lengths 4.159, 4.159, 5.115 Å; angles 90.00, 90.00, 120.00 degrees
Positions (direct):
Nd1 0.333 0.667 0.244
Nd2 0.667 0.333 0.756
O1 0.333 0.667 0.733
O2 0.667 0.333 0.267
F1 0.000 0.000 0.000

Computed properties:
Space group: P-3m1, No. 164
Magnetic moment in μB/atom: 0.000
Energy in eV per atom: -7.512
Raw formation energy in eV/atom: -3.2478

[6]
The following is a DFT calculation (PBE-GGA) of NdOF after structural relaxation.

Cell lengths 7.024, 7.024, 7.024 Å; angles 32.98, 32.98, 32.98 degrees
Positions (direct):
Nd1 0.241 0.241 0.241
Nd2 0.759 0.759 0.759
O1 0.122 0.122 0.122
O2 0.878 0.878 0.878
F1 0.370 0.370 0.370
F2 0.630 0.630 0.630

Computed properties:
Space group: R-3m, No. 166
Magnetic moment in μB/atom: 0.000
Energy in eV per atom: -7.651
Raw formation energy in eV/atom: -3.7849

[7]
The following is a DFT calculation (PBE-GGA) of NdOs2O7F2 after structural relaxation.

Cell lengths 9.917, 9.917, 9.917 Å; angles 157.17, 157.17, 32.51 degrees
Positions (direct):
Nd1 0.000 0.000 0.000
Os1 0.390 0.390 0.000
Os2 0.610 0.610 0.000
O1 0.089 0.589 0.500
O2 0.301 0.301 0.000
O3 0.411 0.911 0.500
O4 0.500 0.500 0.000
O5 0.589 0.089 0.500
O6 0.699 0.699 0.000
O7 0.911 0.411 0.500
F1 0.250 0.750 0.500
F2 0.750 0.250 0.500

Computed properties:
Space group: I4/mmm, No. 139
Magnetic moment in μB/atom: 0.000
Energy in eV per atom: -6.665
Raw formation energy in eV/atom: -1.1923

[8]
The following is a DFT calculation (PBE-GGA) of NdPO4F after structural relaxation.

Cell lengths 5.978, 5.978, 6.662 Å; angles 102.33, 102.33, 75.14 degrees
Positions (direct):
Nd1 0.207 0.207 0.119
Nd2 0.793 0.793 0.881
P1 0.356 0.356 0.733
P2 0.644 0.644 0.267
O1 0.138 0.476 0.841
O2 0.285 0.285 0.498
O3 0.476 0.138 0.841
O4 0.477 0.477 0.230
O5 0.523 0.523 0.770
O6 0.524 0.862 0.159
O7 0.715 0.715 0.502
O8 0.862 0.524 0.159
F1 0.018 0.018 0.815
F2 0.982 0.982 0.185

Computed properties:
Space group: C2/m, No. 12
Magnetic moment in μB/atom: 0.145
Energy in eV per atom: -7.245
Raw formation energy in eV/atom: -2.6907

[9]
The following is a DFT calculation (PBE-GGA) of Nd6S3O2F8 after structural relaxation.

Cell lengths 13.590, 3.880, 13.698 Å; angles 90.00, 119.71, 90.00 degrees
Positions (direct):
Nd1 0.000 0.000 0.000
Nd2 0.045 0.500 0.763
Nd3 0.138 0.500 0.520
Nd4 0.229 0.500 0.295
Nd5 0.338 0.000 0.828
Nd6 0.419 0.000 0.580
Nd7 0.518 0.000 0.344
Nd8 0.574 0.500 0.109
Nd9 0.671 0.000 0.917
Nd10 0.755 0.000 0.660
Nd11 0.806 0.500 0.454
Nd12 0.884 0.500 0.196
S1 0.008 0.000 0.584
S2 0.083 0.000 0.335
S3 0.469 0.500 0.774
S4 0.558 0.500 0.526
S5 0.754 0.000 0.245
S6 0.816 0.500 0.872
O1 0.298 0.500 0.491
O2 0.699 0.500 0.034
O3 0.714 0.000 0.469
O4 0.850 0.500 0.645
F1 0.029 0.500 0.127
F2 0.083 0.500 0.959
F3 0.176 0.000 0.851
F4 0.183 0.000 0.165
F5 0.214 0.500 0.732
F6 0.259 0.000 0.622
F7 0.351 0.000 0.375
F8 0.379 0.500 0.950
F9 0.388 0.500 0.261
F10 0.488 0.000 0.152
F11 0.529 0.000 0.982
F12 0.602 0.500 0.302
F13 0.616 0.000 0.723
F14 0.872 0.000 0.080
F15 0.943 0.500 0.389
F16 0.965 0.000 0.809

Computed properties:
Space group: Pm, No. 6
Magnetic moment in μB/atom: 0.000
Energy in eV per atom: -6.956
Raw formation energy in eV/atom: -3.4885

[10]
The following is a DFT calculation (PBE-GGA) of NdS2O6F2 after structural relaxation.

Cell lengths 5.929, 5.929, 5.851 Å; angles 90.00, 90.00, 120.00 degrees
Positions (direct):
Nd1 0.000 0.000 0.000
S1 0.333 0.667 0.711
S2 0.667 0.333 0.289
O1 0.196 0.391 0.786
O2 0.196 0.804 0.786
O3 0.391 0.196 0.214
O4 0.609 0.804 0.786
O5 0.804 0.196 0.214
O6 0.804 0.609 0.214
F1 0.333 0.667 0.403
F2 0.667 0.333 0.597

Computed properties:
Space group: P-3m1, No. 164
Magnetic moment in μB/atom: 0.089
Energy in eV per atom: -5.996
Raw formation energy in eV/atom: -1.7675

[11]
The following is a DFT calculation (PBE-GGA) of Nd2SO4F2 after structural relaxation.

Cell lengths 4.285, 4.285, 7.736 Å; angles 90.31, 90.31, 84.33 degrees
Positions (direct):
Nd1 0.125 0.125 0.268
Nd2 0.875 0.875 0.732
S1 0.500 0.500 0.000
O1 0.203 0.627 0.146
O2 0.373 0.797 0.854
O3 0.627 0.203 0.146
O4 0.797 0.373 0.854
F1 0.201 0.201 0.560
F2 0.799 0.799 0.440

Computed properties:
Space group: C2/m, No. 12
Magnetic moment in μB/atom: 0.223
Energy in eV per atom: -6.607
Raw formation energy in eV/atom: -2.4693

[12]
The following is a DFT calculation (PBE-GGA) of NdSO4F after structural relaxation.

Cell lengths 5.871, 5.871, 6.609 Å; angles 101.92, 101.92, 75.86 degrees
Positions (direct):
Nd1 0.210 0.210 0.131
Nd2 0.790 0.790 0.869
S1 0.353 0.353 0.729
S2 0.647 0.647 0.271
O1 0.147 0.475 0.845
O2 0.263 0.263 0.511
O3 0.475 0.147 0.845
O4 0.487 0.487 0.255
O5 0.513 0.513 0.745
O6 0.525 0.853 0.155
O7 0.737 0.737 0.489
O8 0.853 0.525 0.155
F1 0.024 0.024 0.819
F2 0.976 0.976 0.181

Computed properties:
Space group: C2/m, No. 12
Magnetic moment in μB/atom: 0.000
Energy in eV per atom: -6.870
Raw formation energy in eV/atom: -2.4984